# 1
A PBEsol-optimized structure of LiCo8. Source: Alexandria via LeMat-Bulk, functional SCAN.

Cell lengths 7.3275, 7.3275, 3.4905 Å; angles 90.00, 90.00, 90.00 degrees
Space group I4/mmm (No. 139)
One atom of each set of equivalent atoms:
Li: 0.0000 0.0000 0.0000
Co: 0.0000 0.3378 0.0000
Co: 0.1709 0.1709 0.5000

**Formation energy from the elements**: 0.080 eV per atom
**DOS(E_F)**: 11.5 states/eV/cell

=====

# 2
A PBEsol-optimized structure of LiCo3. Source: Alexandria via LeMat-Bulk, functional SCAN.

Cell lengths 2.3905, 3.6451, 4.8103 Å; angles 90.00, 90.00, 90.00 degrees
Space group Pmmm (No. 47)
One atom of each set of equivalent atoms:
Li: 0.0000 0.0000 0.0000
Co: 0.0000 0.0000 0.5000
Co: 0.5000 0.5000 0.2530

**Formation energy from the elements**: 0.163 eV per atom
**DOS(E_F)**: 2.7 states/eV/cell

=====

# 3
A PBEsol-optimized structure of Li5Co24. Source: Alexandria via LeMat-Bulk, functional SCAN.

Cell lengths 8.5435, 8.5435, 8.5435 Å; angles 90.00, 90.00, 90.00 degrees
Space group I-43m (No. 217)
One atom of each set of equivalent atoms:
Li: 0.0000 0.0000 0.0000
Li: 0.1797 0.1797 0.8203
Co: 0.0396 0.3590 0.3590
Co: 0.0930 0.0930 0.2843

**Formation energy from the elements**: 0.103 eV per atom
**DOS(E_F)**: 34.1 states/eV/cell

=====

# 4
A PBEsol-optimized structure of LiCo2. Source: Alexandria via LeMat-Bulk, functional SCAN.

Cell lengths 9.2145, 2.4571, 6.0025 Å; angles 90.00, 109.34, 90.00 degrees
Space group Cm (No. 8)
One atom of each set of equivalent atoms:
Li: 0.0000 0.0000 0.0000
Li: 0.1513 0.5000 0.3481
Co: 0.1255 0.5000 0.7477
Co: 0.2897 0.0000 0.0867
Co: 0.3261 0.0000 0.6805
Co: 0.4321 0.5000 0.4377

**Formation energy from the elements**: 0.184 eV per atom
**DOS(E_F)**: 8.5 states/eV/cell

=====

# 5
A PBEsol-optimized structure of LiCo3. Source: Alexandria via LeMat-Bulk, functional SCAN.

Cell lengths 4.3849, 4.3849, 4.3849 Å; angles 90.00, 90.00, 90.00 degrees
Space group Pm-3n (No. 223)
One atom of each set of equivalent atoms:
Li: 0.0000 0.0000 0.0000
Co: 0.0000 0.2500 0.5000

**Formation energy from the elements**: 0.257 eV per atom
**DOS(E_F)**: 4.8 states/eV/cell

=====

# 6
A PBEsol-optimized structure of LiCo2. Source: Alexandria via LeMat-Bulk, functional SCAN.

Cell lengths 3.0708, 3.0708, 15.5139 Å; angles 90.00, 90.00, 90.00 degrees
Space group I4_1/amd (No. 141, origin choice 2)
One atom of each set of equivalent atoms:
Li: 0.0000 0.2500 0.3750
Co: 0.0000 0.2500 0.7986

**Formation energy from the elements**: 0.667 eV per atom
**DOS(E_F)**: 6.0 states/eV/cell

=====

# 7
A PBEsol-optimized structure of Li2MgCo. Source: Alexandria via LeMat-Bulk, functional SCAN.

Cell lengths 2.6908, 3.8808, 5.6785 Å; angles 90.00, 90.00, 90.00 degrees
Space group Pmm2 (No. 25)
One atom of each set of equivalent atoms:
Li: 0.0000 0.0000 0.0000
Li: 0.5000 0.5000 0.2509
Mg: 0.0000 0.0000 0.5493
Co: 0.5000 0.5000 0.7674

**Formation energy from the elements**: 0.151 eV per atom
**DOS(E_F)**: 1.8 states/eV/cell

=====

# 8
A PBEsol-optimized structure of Li2MgCo. Source: Alexandria via LeMat-Bulk, functional SCAN.

Cell lengths 3.7393, 3.7393, 4.1742 Å; angles 90.00, 90.00, 90.00 degrees
Space group P4/mmm (No. 123)
One atom of each set of equivalent atoms:
Li: 0.0000 0.5000 0.0000
Mg: 0.0000 0.0000 0.5000
Co: 0.5000 0.5000 0.5000

**Formation energy from the elements**: 0.158 eV per atom
**DOS(E_F)**: 1.9 states/eV/cell

=====

# 9
A PBEsol-optimized structure of LiMgCo. Source: Alexandria via LeMat-Bulk, functional SCAN.

Cell lengths 4.2762, 4.2762, 2.5936 Å; angles 90.00, 90.00, 120.00 degrees
Space group P3m1 (No. 156)
One atom of each set of equivalent atoms:
Li: 0.0000 0.0000 0.0000
Mg: 0.6667 0.3333 0.4273
Co: 0.3333 0.6667 0.8808

**Formation energy from the elements**: 0.194 eV per atom
**DOS(E_F)**: 1.5 states/eV/cell

=====

# 10
A PBEsol-optimized structure of Li2Mg2Co. Source: Alexandria via LeMat-Bulk, functional SCAN.

Cell lengths 4.8609, 4.8609, 6.7040 Å; angles 90.00, 90.00, 90.00 degrees
Space group I4/mmm (No. 139)
One atom of each set of equivalent atoms:
Li: 0.0000 0.0000 0.1522
Mg: 0.0000 0.5000 0.2500
Co: 0.0000 0.0000 0.5000

**Formation energy from the elements**: 0.453 eV per atom
**DOS(E_F)**: 6.1 states/eV/cell

=====

# 11
A PBEsol-optimized structure of Li2MgCo. Source: Alexandria via LeMat-Bulk, functional SCAN.

Cell lengths 2.7359, 2.7359, 28.0596 Å; angles 90.00, 90.00, 120.00 degrees
Space group R-3m (No. 166, hexagonal axes)
One atom of each set of equivalent atoms:
Li: 0.0000 0.0000 0.2395
Mg: 0.0000 0.0000 0.0000
Co: 0.0000 0.0000 0.5000

**Formation energy from the elements**: 0.253 eV per atom
**DOS(E_F)**: 6.4 states/eV/cell

=====

# 12
A PBEsol-optimized structure of LiMgCo4. Source: Alexandria via LeMat-Bulk, functional SCAN.

Cell lengths 6.6547, 6.6547, 6.6547 Å; angles 90.00, 90.00, 90.00 degrees
Space group F-43m (No. 216)
One atom of each set of equivalent atoms:
Li: 0.0000 0.0000 0.0000
Mg: 0.2500 0.2500 0.7500
Co: 0.1252 0.1252 0.3748

**Formation energy from the elements**: 0.104 eV per atom
**DOS(E_F)**: 17.9 states/eV/cell